(1)
The following is a DFT calculation (PBE) of a geometry-optimized LiAl3S4 structure.

## Properties
**Crystal system**: orthorhombic

CIF file:
```
data_LiAl3S4
_chemical_formula_sum 'Li2 Al6 S8'
_cell_length_a 7.382
_cell_length_b 9.571
_cell_length_c 6.080
_cell_angle_alpha 90.00
_cell_angle_beta 90.00
_cell_angle_gamma 90.00
_symmetry_space_group_name_H-M 'P m n 21'
_symmetry_Int_Tables_number 31
loop_
_symmetry_equiv_pos_as_xyz
'x,y,z'
'-x+1/2,-y,z+1/2'
'-x,y,z'
'x+1/2,-y,z+1/2'
loop_
_atom_site_label
_atom_site_fract_x
_atom_site_fract_y
_atom_site_fract_z
_atom_site_occupancy
Li1 0.000 0.227 0.000 1
Al1 0.000 0.701 0.450 1
Al2 0.247 0.118 0.483 1
S1 0.000 0.246 0.392 1
S2 0.000 0.766 0.871 1
S3 0.241 0.892 0.361 1
```



(2)
The following is a DFT calculation (PBE) of a geometry-optimized LiAlS3 structure.

## Properties
**Offset from the most stable computed form**: 0 meV/atom
**Crystal system**: cubic

CIF file:
```
data_LiAlS3
_chemical_formula_sum 'Li1 Al1 S3'
_cell_length_a 4.650
_cell_length_b 4.650
_cell_length_c 4.650
_cell_angle_alpha 90.00
_cell_angle_beta 90.00
_cell_angle_gamma 90.00
_symmetry_space_group_name_H-M 'P m -3 m'
_symmetry_Int_Tables_number 221
_symmetry_space_group_name_Hall '-P 4 2 3'
loop_
_atom_site_label
_atom_site_fract_x
_atom_site_fract_y
_atom_site_fract_z
_atom_site_occupancy
Li1 0.000 0.000 0.000 1
Al1 0.500 0.500 0.500 1
S1 0.000 0.500 0.500 1
```



(3)
The following is a DFT calculation (PBE) of a geometry-optimized LiAl5S8 structure.

## Properties
**Crystal system**: cubic

CIF file:
```
data_LiAl5S8
_chemical_formula_sum 'Li4 Al20 S32'
_cell_length_a 10.065
_cell_length_b 10.065
_cell_length_c 10.065
_cell_angle_alpha 90.00
_cell_angle_beta 90.00
_cell_angle_gamma 90.00
_symmetry_space_group_name_H-M 'F -4 3 m'
_symmetry_Int_Tables_number 216
_symmetry_space_group_name_Hall 'F -4 2 3'
loop_
_atom_site_label
_atom_site_fract_x
_atom_site_fract_y
_atom_site_fract_z
_atom_site_occupancy
Li1 0.000 0.000 0.000 1
Al1 0.133 0.133 0.367 1
Al2 0.250 0.250 0.750 1
S1 0.116 0.116 0.616 1
S2 0.133 0.133 0.133 1
```



(4)
The following is a DFT calculation (PBE) of a geometry-optimized LiAlS2 structure.

## Properties
**Crystal system**: triclinic

CIF file:
```
data_LiAlS2
_chemical_formula_sum 'Li2 Al2 S4'
_cell_length_a 5.964
_cell_length_b 6.583
_cell_length_c 6.627
_cell_angle_alpha 105.74
_cell_angle_beta 108.79
_cell_angle_gamma 111.06
_symmetry_space_group_name_H-M 'P -1'
_symmetry_Int_Tables_number 2
loop_
_symmetry_equiv_pos_as_xyz
'x,y,z'
'-x,-y,-z'
loop_
_atom_site_label
_atom_site_fract_x
_atom_site_fract_y
_atom_site_fract_z
_atom_site_occupancy
Li1 0.250 0.215 0.287 1
Al1 0.250 0.509 0.992 1
S1 0.123 0.796 0.047 1
S2 0.378 0.434 0.707 1
```



(5)
The following is a DFT calculation (PBE) of a geometry-optimized Li3AlS3 structure.

## Properties
**Offset from the most stable computed form**: 37 meV/atom
**Crystal system**: monoclinic

CIF file:
```
data_Li3AlS3
_chemical_formula_sum 'Li12 Al4 S12'
_cell_length_a 7.089
_cell_length_b 11.461
_cell_length_c 6.414
_cell_angle_alpha 90.00
_cell_angle_beta 96.20
_cell_angle_gamma 90.00
_symmetry_space_group_name_H-M 'C 1 2/m 1'
_symmetry_Int_Tables_number 12
loop_
_symmetry_equiv_pos_as_xyz
'x,y,z'
'-x,-y,-z'
'-x,y,-z'
'x,-y,z'
'x+1/2,y+1/2,z'
'-x+1/2,-y+1/2,-z'
'-x+1/2,y+1/2,-z'
'x+1/2,-y+1/2,z'
loop_
_atom_site_label
_atom_site_fract_x
_atom_site_fract_y
_atom_site_fract_z
_atom_site_occupancy
Li1 0.000 0.187 0.000 1
Li2 0.000 0.249 0.500 1
Li3 0.074 0.500 0.828 1
Al1 0.185 0.000 0.638 1
S1 0.120 0.000 0.279 1
S2 0.174 0.340 0.235 1
```



(6)
The following is a DFT calculation (PBE) of a geometry-optimized LiAlS2 structure.

## Properties
**Crystal system**: orthorhombic

CIF file:
```
data_LiAlS2
_chemical_formula_sum 'Li4 Al4 S8'
_cell_length_a 6.550
_cell_length_b 7.933
_cell_length_c 6.238
_cell_angle_alpha 90.00
_cell_angle_beta 90.00
_cell_angle_gamma 90.00
_symmetry_space_group_name_H-M 'P n a 21'
_symmetry_Int_Tables_number 33
loop_
_symmetry_equiv_pos_as_xyz
'x,y,z'
'-x,-y,z+1/2'
'-x+1/2,y+1/2,z+1/2'
'x+1/2,-y+1/2,z'
loop_
_atom_site_label
_atom_site_fract_x
_atom_site_fract_y
_atom_site_fract_z
_atom_site_occupancy
Li1 0.085 0.122 0.000 1
Al1 0.073 0.626 0.995 1
S1 0.063 0.614 0.630 1
S2 0.096 0.139 0.605 1
```



Number 1: DFT total energy -73.62 eV for the cell shown, ΔE_f (raw) -0.8946 eV/atom. Number 2: DFT total energy -19.76 eV for the cell shown, ΔE_f (raw) -0.3452 eV/atom. Number 3: DFT total energy -277.08 eV for the cell shown, ΔE_f (raw) -1.1160 eV/atom. Number 4: DFT total energy -37.57 eV for the cell shown, ΔE_f (raw) -1.2181 eV/atom. Number 5: DFT total energy -121.18 eV for the cell shown, ΔE_f (raw) -1.2042 eV/atom. Number 6: DFT total energy -76.18 eV for the cell shown, ΔE_f (raw) -1.2834 eV/atom.